[1]
## LiU2Cl6 (PBE-GGA)

Data for a relaxed structure of LiU2Cl6.

Cell: 8.1103 8.1103 9.5770 Å, 109.47 109.47 26.04°
With the nearest neighbours (Å) after each atom.
Fractional positions:
Li1 0.0000 0.0000 0.0000  6 Cl 2.55-2.75
U1 0.3278 0.3278 0.6569  6 Cl 2.67-2.82
U2 0.6722 0.6722 0.3431  6 Cl 2.67-2.82
Cl1 0.0342 0.0342 0.3017  1 Li 2.75, 2 U 2.77
Cl2 0.3090 0.3090 0.3529  3 U 2.81-2.82
Cl3 0.3807 0.3807 0.9538  2 Li 2.55, 1 U 2.67
Cl4 0.6193 0.6193 0.0462  2 Li 2.55, 1 U 2.67
Cl5 0.6910 0.6910 0.6471  3 U 2.81-2.82
Cl6 0.9658 0.9658 0.6983  1 Li 2.75, 2 U 2.77

Calculated values
Theoretical density in g/cm³: 4.4
Uncorrected formation energy in eV per atom: -1.55
SG: C2/m, No. 12
DFT total energy in eV per cell: -49.52

[2]
## Li2VCl4 (PBE-GGA)

Data for a relaxed structure of Li2VCl4.

Cell: 7.3645 7.3645 7.3645 Å, 140.85 140.85 56.56°
With the nearest neighbours (Å) after each atom.
Fractional positions:
Li1 0.1376 0.1376 0.0000  1 Cl 2.27
Li2 0.8624 0.8624 0.0000  1 Cl 2.27
V1 0.5000 0.5000 0.0000  6 Cl 2.43-2.47
Cl1 0.0000 0.5000 0.5000  2 V 2.47
Cl2 0.3126 0.3126 0.0000  1 Li 2.27, 1 V 2.43
Cl3 0.5000 0.0000 0.5000  2 V 2.47
Cl4 0.6874 0.6874 0.0000  1 Li 2.27, 1 V 2.43

Calculated values
Offset from the most stable computed form in meV/atom: 216
Theoretical density in g/cm³: 2.2
Uncorrected formation energy in eV per atom: -1.31
SG: I4/mmm, No. 139
DFT total energy in eV per cell: -29.47